Here is a PBEsol-optimized structure of CdBSb2 from Alexandria via LeMat-Bulk. Energies are from meta-GGA SCAN.

## Properties
- Volume: 20.6 Å³ per atom
- Crystal system: cubic
- Uncorrected formation energy: 1.0450 eV per atom
- Electronic total energy: -108.2 eV/cell
- Space-group type: Fm-3m, No. 225
- Magnetization: 0.00 μB/f.u.

a = 4.8878 Å, b = 4.8878 Å, c = 4.8878 Å
α = 60.00°, β = 60.00°, γ = 60.00°
Last column: nearest neighbours and their distance in Å.
Atoms (fractional coordinates):
B  0.0000  0.0000  0.0000  8 Sb 2.99
Cd  0.5000  0.5000  0.5000  8 Sb 2.99
Sb  0.7500  0.7500  0.7500  4 Cd 2.99, 4 B 2.99
Sb  0.2500  0.2500  0.2500  4 B 2.99, 4 Cd 2.99